# 1
Computed, not measured: a geometry-optimized LaTlZn structure at the GGA-PBE level of DFT.

Cell lengths 6.7728, 4.9893, 9.6150 Å; angles 90.00, 90.00, 90.00 degrees
Closest atoms and distances in Å follow each position.
Element x y z (fractional)
1 La 0.1680 0.2500 0.0886  5 Tl 3.18-3.51, 5 Zn 3.35-3.47
2 La 0.3320 0.7500 0.5886  5 Tl 3.18-3.51, 5 Zn 3.35-3.47
3 La 0.6680 0.2500 0.4114  5 Tl 3.18-3.51, 5 Zn 3.35-3.47
4 La 0.8320 0.7500 0.9114  5 Tl 3.18-3.51, 5 Zn 3.35-3.47
5 Tl 0.1500 0.2500 0.4186  3 Zn 3.14-3.22, 5 La 3.18-3.51
6 Tl 0.3500 0.7500 0.9186  3 Zn 3.14-3.22, 5 La 3.18-3.51
7 Tl 0.6500 0.2500 0.0814  3 Zn 3.14-3.22, 5 La 3.18-3.51
8 Tl 0.8500 0.7500 0.5814  3 Zn 3.14-3.22, 5 La 3.18-3.51
9 Zn 0.0518 0.2500 0.7375  3 Tl 3.14-3.22, 5 La 3.35-3.47, 2 Zn 3.39
10 Zn 0.4482 0.7500 0.2375  3 Tl 3.14-3.22, 5 La 3.35-3.47, 2 Zn 3.39
11 Zn 0.5518 0.2500 0.7625  3 Tl 3.14-3.22, 5 La 3.35-3.47, 2 Zn 3.39
12 Zn 0.9482 0.7500 0.2625  3 Tl 3.14-3.22, 5 La 3.35-3.47, 2 Zn 3.39

## Properties
D(E_F) = 7.9 states/eV per cell
crystal system = orthorhombic
SG = No. 62
E_tot = -3.092 eV/atom

=====

# 2
Computed, not measured: a geometry-optimized La2TlZn structure at the GGA-PBE level of DFT.

Cell lengths 6.9542, 6.9542, 6.9542 Å; angles 102.66, 102.66, 124.18 degrees
Closest atoms and distances in Å follow each position.
Element x y z (fractional)
1 La 0.0912 0.6250 0.9662  2 Zn 2.99, 2 La 3.31
2 La 0.3750 0.3412 0.4662  2 Zn 2.99, 2 La 3.31
3 La 0.6588 0.1250 0.0338  2 Zn 2.99, 2 La 3.31
4 La 0.8750 0.9088 0.5338  2 Zn 2.99, 2 La 3.31
5 Tl 0.2500 0.7500 0.5000  2 Zn 3.26, 4 La 3.39
6 Tl 0.5000 0.5000 0.0000  2 Zn 3.26, 4 La 3.39
7 Zn 0.0000 0.0000 0.0000  4 La 2.99, 2 Tl 3.26
8 Zn 0.7500 0.2500 0.5000  4 La 2.99, 2 Tl 3.26

## Properties
D(E_F) = 11.5 states/eV per cell
crystal system = tetragonal
SG = No. 122
E_tot = -3.422 eV/atom

=====

# 3
Computed, not measured: a geometry-optimized LaTlZn structure at the GGA-PBE level of DFT.

Cell lengths 5.1033, 4.4538, 7.6439 Å; angles 90.00, 108.57, 90.00 degrees
Closest atoms and distances in Å follow each position.
Element x y z (fractional)
1 La 0.0000 0.0000 0.0000  4 Zn 3.25-3.42, 6 Tl 3.30-3.51
2 La 0.2891 0.0000 0.6031  6 Zn 3.17-3.51, 4 Tl 3.21-3.43
3 Tl 0.4915 0.5000 0.9533  3 Zn 3.12-3.43, 6 La 3.35-3.46, 2 Tl 3.42
4 Tl 0.6220 0.0000 0.3108  4 Zn 2.95-3.29, 2 La 3.21-3.30
5 Zn 0.0023 0.5000 0.3104  1 Zn 2.92, 3 Tl 2.95-3.12, 4 La 3.17-3.25
6 Zn 0.8362 0.5000 0.6422  1 Zn 2.92

## Properties
D(E_F) = 5.5 states/eV per cell
crystal system = monoclinic
SG = No. 6
E_tot = -3.088 eV/atom

=====

# 4
Computed, not measured: a geometry-optimized LaTlZn structure at the GGA-PBE level of DFT.

Cell lengths 4.7604, 4.7604, 8.9308 Å; angles 105.45, 105.45, 59.78 degrees
Closest atoms and distances in Å follow each position.
Element x y z (fractional)
1 La 0.2422 0.2422 0.2239  4 Zn 3.08-3.30, 3 Tl 3.34
2 La 0.7578 0.7578 0.7761  4 Zn 3.08-3.30, 3 Tl 3.34
3 Tl 0.0000 0.0000 0.5000  6 Zn 2.90-2.91
4 Tl 0.5000 0.5000 0.0000  2 Zn 3.30, 6 La 3.34
5 Zn 0.3704 0.3704 0.6117  3 Tl 2.90-2.91, 3 La 3.08
6 Zn 0.6296 0.6296 0.3883  3 Tl 2.90-2.91, 3 La 3.08

## Properties
D(E_F) = 5.0 states/eV per cell
crystal system = monoclinic
SG = No. 12
E_tot = -3.116 eV/atom

=====

# 5
Computed, not measured: a geometry-optimized LaTlZn structure at the GGA-PBE level of DFT.

Cell lengths 6.5224, 6.5224, 5.9162 Å; angles 98.08, 98.08, 41.28 degrees
Closest atoms and distances in Å follow each position.
Element x y z (fractional)
1 La 0.0000 0.0000 0.0000  4 Zn 3.17-3.37, 2 Tl 3.28
2 La 0.2230 0.2230 0.5928  4 Tl 3.13-3.31, 4 Zn 3.16-3.33
3 Tl 0.3238 0.3238 0.1117  2 Zn 2.85, 1 La 3.13
4 Tl 0.5255 0.5255 0.5333  3 Zn 2.86-3.16
5 Zn 0.6955 0.6955 0.1808  1 Zn 2.70, 2 Tl 2.85
6 Zn 0.8842 0.8842 0.4829  1 Zn 2.70, 2 Tl 2.86

## Properties
D(E_F) = 3.1 states/eV per cell
crystal system = monoclinic
SG = No. 8
E_tot = -3.119 eV/atom

=====

# 6
Computed, not measured: a geometry-optimized La2TlZn structure at the GGA-PBE level of DFT.

Cell lengths 3.8006, 4.8940, 6.6545 Å; angles 90.00, 90.00, 90.00 degrees
Closest atoms and distances in Å follow each position.
Element x y z (fractional)
1 La 0.0000 0.0000 0.0000  2 Tl 3.16-3.49, 4 Zn 3.28
2 La 0.5000 0.5000 0.3424  2 Zn 3.30-3.35, 4 Tl 3.33
3 Tl 0.0000 0.0000 0.5251  6 La 3.16-3.49
4 Zn 0.5000 0.5000 0.8388  6 La 3.28-3.35

## Properties
D(E_F) = 4.2 states/eV per cell
crystal system = orthorhombic
SG = No. 25
E_tot = -3.517 eV/atom

=====

# 7
Computed, not measured: a geometry-optimized La2TlZn structure at the GGA-PBE level of DFT.

Cell lengths 6.4249, 6.4249, 5.2643 Å; angles 114.02, 114.02, 35.47 degrees
Closest atoms and distances in Å follow each position.
Element x y z (fractional)
1 La 0.0000 0.0000 0.0000  4 Zn 3.29-3.30, 2 Tl 3.56-3.57, 4 La 3.58-3.65
2 La 0.2211 0.2211 0.7221  4 Tl 3.35, 2 Zn 3.35, 4 La 3.58-3.65
3 Tl 0.7829 0.7829 0.2833  2 Zn 2.89
4 Zn 0.4749 0.4749 0.4761  2 Tl 2.89

## Properties
D(E_F) = 4.2 states/eV per cell
crystal system = monoclinic
SG = No. 8
E_tot = -3.678 eV/atom

=====

# 8
Computed, not measured: a geometry-optimized La3TlZn structure at the GGA-PBE level of DFT.

Cell lengths 10.3912, 10.3912, 5.5334 Å; angles 90.00, 90.00, 149.00 degrees
Closest atoms and distances in Å follow each position.
Element x y z (fractional)
1 La 0.0577 0.9423 0.7500  2 Zn 3.33, 2 Tl 3.36, 4 La 3.60-3.71
2 La 0.2476 0.7524 0.7500  4 Tl 3.35-3.41, 4 Zn 3.41-3.46
3 La 0.4351 0.5649 0.7500  2 Zn 3.24, 2 Tl 3.29
4 La 0.5649 0.4351 0.2500  2 Zn 3.24, 2 Tl 3.29
5 La 0.7524 0.2476 0.2500  4 Tl 3.35-3.41, 4 Zn 3.41-3.46
6 La 0.9423 0.0577 0.2500  2 Zn 3.33, 2 Tl 3.36, 4 La 3.60-3.71
7 Tl 0.1532 0.8468 0.2500  8 La 3.29-3.41
8 Tl 0.8468 0.1532 0.7500  8 La 3.29-3.41
9 Zn 0.3510 0.6490 0.2500  8 La 3.24-3.46
10 Zn 0.6490 0.3510 0.7500  8 La 3.24-3.46

## Properties
D(E_F) = 12.3 states/eV per cell
crystal system = orthorhombic
SG = No. 63
E_tot = -3.948 eV/atom

=====

Among the records above, which one has the lowest E_tot? La3TlZn